# TcMo2Cl, optimized geometry, DFT GGA-PBEsol
# formation energy from raw total energies = 889 meV per atom
# Fermi-level density of states = 5.92 states/eV/cell
# spin magnetization = 0.000 μB per atom
# V = 116.8 Å³ per cell
# total energy = -8.31 eV/atom
data_TcMo2Cl
_chemical_formula_sum 'Tc2 Mo4 Cl2'
_symmetry_space_group_name_H-M 'I 4/m m m'
_symmetry_Int_Tables_number 139
_symmetry_space_group_name_Hall '-I 4 2'
_cell_length_a 3.670
_cell_length_b 3.670
_cell_length_c 8.673
_cell_angle_alpha 90.00
_cell_angle_beta 90.00
_cell_angle_gamma 90.00
loop_
_atom_site_label
_atom_site_fract_x
_atom_site_fract_y
_atom_site_fract_z
Tc1 0.000 0.000 0.000
Mo1 0.000 0.500 0.250
Cl1 0.000 0.000 0.500


# W2SeO, optimized geometry, DFT GGA-PBEsol
# formation energy from raw total energies = 380 meV per atom
# Fermi-level density of states = 15.55 states/eV/cell
# spin magnetization = 0.000 μB per atom
# V = 208.2 Å³ per cell
# total energy = -8.80 eV/atom
data_W2SeO
_chemical_formula_sum 'W8 Se4 O4'
_symmetry_space_group_name_H-M 'F m -3 m'
_symmetry_Int_Tables_number 225
_symmetry_space_group_name_Hall '-F 4 2 3'
_cell_length_a 5.927
_cell_length_b 5.927
_cell_length_c 5.927
_cell_angle_alpha 90.00
_cell_angle_beta 90.00
_cell_angle_gamma 90.00
loop_
_atom_site_label
_atom_site_fract_x
_atom_site_fract_y
_atom_site_fract_z
W1 0.250 0.250 0.250
Se1 0.000 0.000 0.000
O1 0.000 0.000 0.500


# Tl3Cd, optimized geometry, DFT GGA-PBEsol
# Fermi-level density of states = 1.65 states/eV/cell
# spin magnetization = 0.000 μB per atom
# V = 105.5 Å³ per cell
# total energy = -2.22 eV/atom
data_Tl3Cd
_chemical_formula_sum 'Tl3 Cd1'
_symmetry_space_group_name_H-M 'P m -3 m'
_symmetry_Int_Tables_number 221
_symmetry_space_group_name_Hall '-P 4 2 3'
_cell_length_a 4.725
_cell_length_b 4.725
_cell_length_c 4.725
_cell_angle_alpha 90.00
_cell_angle_beta 90.00
_cell_angle_gamma 90.00
loop_
_atom_site_label
_atom_site_fract_x
_atom_site_fract_y
_atom_site_fract_z
Tl1 0.000 0.000 0.500
Cd1 0.500 0.500 0.500


# V2CrRu, optimized geometry, DFT GGA-PBEsol
# Fermi-level density of states = 7.10 states/eV/cell
# spin magnetization = 0.000 μB per atom
# V = 199.8 Å³ per cell
# total energy = -10.17 eV/atom
data_V2CrRu
_chemical_formula_sum 'V8 Cr4 Ru4'
_symmetry_space_group_name_H-M 'F m -3 m'
_symmetry_Int_Tables_number 225
_symmetry_space_group_name_Hall '-F 4 2 3'
_cell_length_a 5.846
_cell_length_b 5.846
_cell_length_c 5.846
_cell_angle_alpha 90.00
_cell_angle_beta 90.00
_cell_angle_gamma 90.00
loop_
_atom_site_label
_atom_site_fract_x
_atom_site_fract_y
_atom_site_fract_z
V1 0.250 0.250 0.250
Cr1 0.000 0.000 0.000
Ru1 0.000 0.000 0.500


# TaPb3, optimized geometry, DFT GGA-PBEsol
# Fermi-level density of states = 3.35 states/eV/cell
# spin magnetization = 0.000 μB per atom
# V = 97.6 Å³ per cell
# total energy = -5.46 eV/atom
data_TaPb3
_chemical_formula_sum 'Ta1 Pb3'
_symmetry_space_group_name_H-M 'P 4/m m m'
_symmetry_Int_Tables_number 123
_symmetry_space_group_name_Hall '-P 4 2'
_cell_length_a 5.125
_cell_length_b 5.125
_cell_length_c 3.717
_cell_angle_alpha 90.00
_cell_angle_beta 90.00
_cell_angle_gamma 90.00
loop_
_atom_site_label
_atom_site_fract_x
_atom_site_fract_y
_atom_site_fract_z
Ta1 0.000 0.000 0.000
Pb1 0.000 0.500 0.500
Pb2 0.500 0.500 0.000


# BeTl2Hg2, optimized geometry, DFT GGA-PBEsol
# Fermi-level density of states = 4.33 states/eV/cell
# spin magnetization = 0.000 μB per atom
# V = 264.3 Å³ per cell
# total energy = -1.43 eV/atom
data_BeTl2Hg2
_chemical_formula_sum 'Be2 Tl4 Hg4'
_symmetry_space_group_name_H-M 'I 4/m m m'
_symmetry_Int_Tables_number 139
_symmetry_space_group_name_Hall '-I 4 2'
_cell_length_a 4.166
_cell_length_b 4.166
_cell_length_c 15.231
_cell_angle_alpha 90.00
_cell_angle_beta 90.00
_cell_angle_gamma 90.00
loop_
_atom_site_label
_atom_site_fract_x
_atom_site_fract_y
_atom_site_fract_z
Be1 0.000 0.000 0.000
Tl1 0.000 0.500 0.250
Hg1 0.000 0.000 0.411


# SrZrOs2O, optimized geometry, DFT GGA-PBEsol
# formation energy from raw total energies = 1987 meV per atom
# Fermi-level density of states = 5.57 states/eV/cell
# spin magnetization = 0.368 μB per atom
# V = 100.5 Å³ per cell
# total energy = -6.14 eV/atom
data_SrZrOs2O
_chemical_formula_sum 'Sr1 Zr1 Os2 O1'
_symmetry_space_group_name_H-M 'P 4/m m m'
_symmetry_Int_Tables_number 123
_symmetry_space_group_name_Hall '-P 4 2'
_cell_length_a 4.927
_cell_length_b 4.927
_cell_length_c 4.142
_cell_angle_alpha 90.00
_cell_angle_beta 90.00
_cell_angle_gamma 90.00
loop_
_atom_site_label
_atom_site_fract_x
_atom_site_fract_y
_atom_site_fract_z
Sr1 0.000 0.000 0.000
Zr1 0.500 0.500 0.500
Os1 0.000 0.500 0.000
O1 0.000 0.000 0.500


# Ce5GeSb2, optimized geometry, DFT GGA-PBEsol
# formation energy from raw total energies = -725 meV per atom
# Fermi-level density of states = 92.34 states/eV/cell
# spin magnetization = 0.399 μB per atom
# V = 843.2 Å³ per cell
# total energy = -6.60 eV/atom
data_Ce5GeSb2
_chemical_formula_sum 'Ce20 Ge4 Sb8'
_symmetry_space_group_name_H-M 'P n m a'
_symmetry_Int_Tables_number 62
_cell_length_a 11.769
_cell_length_b 9.316
_cell_length_c 7.690
_cell_angle_alpha 90.00
_cell_angle_beta 90.00
_cell_angle_gamma 90.00
loop_
_symmetry_equiv_pos_as_xyz
'x,y,z'
'-x,-y,-z'
'-x+1/2,-y,z+1/2'
'x+1/2,y,-z+1/2'
'x+1/2,-y+1/2,-z+1/2'
'-x+1/2,y+1/2,z+1/2'
'-x,y+1/2,-z'
'x,-y+1/2,z'
loop_
_atom_site_label
_atom_site_fract_x
_atom_site_fract_y
_atom_site_fract_z
Ce1 0.009 0.250 0.018
Ce2 0.053 0.055 0.296
Ce3 0.210 0.750 0.644
Ce4 0.222 0.250 0.669
Ge1 0.029 0.750 0.384
Sb1 0.180 0.507 0.928